Material: TeWCl2
Method: DFT, PBE-GGA
State: optimized geometry

Structure (POSCAR):
```
TeWCl2
1.0
2.681 -6.633 0.000
2.681 6.633 0.000
0.000 0.000 3.199
Te W Cl
1 1 2
direct
0.000 0.000 0.000
0.500 0.500 0.000
0.360 0.640 0.500
0.640 0.360 0.500
```

Results
- E_form (uncorrected) (eV/f.u.) = -0.9
- ΔE to the lowest computed polymorph (meV/atom) = 48

Material: AcGa9Pd2
Method: DFT, PBE-GGA
State: optimized geometry

Structure (POSCAR):
```
AcGa9Pd2
1.0
8.388 0.000 0.000
-4.194 7.264 0.000
0.000 0.000 3.909
Ac Ga Pd
1 9 2
direct
0.000 0.000 0.000
0.000 0.500 0.000
0.200 0.400 0.500
0.200 0.800 0.500
0.400 0.200 0.500
0.500 0.000 0.000
0.500 0.500 0.000
0.600 0.800 0.500
0.800 0.200 0.500
0.800 0.600 0.500
0.333 0.667 0.000
0.667 0.333 0.000
```

Results
- ΔE_f (eV per atom) = -0.32
- ΔE to the lowest computed polymorph (meV/atom) = 67

Material: Dy5Zn2Co2
Method: DFT, PBE-GGA
State: optimized geometry

Structure (POSCAR):
```
Dy5Zn2Co2
1.0
7.787 -3.579 0.000
7.787 3.579 0.000
0.000 0.000 7.343
Dy Zn Co
10 4 4
direct
0.000 0.000 0.000
0.057 0.689 0.683
0.189 0.557 0.183
0.311 0.943 0.683
0.443 0.811 0.183
0.500 0.500 0.500
0.557 0.189 0.817
0.689 0.057 0.317
0.811 0.443 0.817
0.943 0.311 0.317
0.219 0.219 0.000
0.281 0.281 0.500
0.719 0.719 0.500
0.781 0.781 0.000
0.107 0.893 0.387
0.393 0.607 0.887
0.607 0.393 0.113
0.893 0.107 0.613
```

Results
- ΔE_f (eV per atom) = -0.22

Material: PrHo9Th2
Method: DFT, PBE-GGA
State: optimized geometry

Structure (POSCAR):
```
PrHo9Th2
1.0
5.015 0.000 0.000
0.000 5.015 0.000
0.000 0.000 15.068
Pr Ho Th
1 9 2
direct
0.000 0.000 0.000
0.000 0.500 0.171
0.000 0.500 0.500
0.000 0.500 0.829
0.500 0.000 0.171
0.500 0.000 0.500
0.500 0.000 0.829
0.500 0.500 0.000
0.500 0.500 0.334
0.500 0.500 0.666
0.000 0.000 0.335
0.000 0.000 0.665
```

Results
- ΔE_f (eV per atom) = 0.03
- ΔE to the lowest computed polymorph (meV/atom) = 0

Material: CeCd12Hg6
Method: DFT, PBE-GGA
State: optimized geometry

Structure (POSCAR):
```
CeCd12Hg6
1.0
6.590 3.805 3.232
-6.590 3.805 3.232
0.000 -7.610 3.232
Ce Cd Hg
1 12 6
direct
0.000 0.000 0.000
0.109 0.500 0.891
0.109 0.891 0.500
0.138 0.373 0.373
0.373 0.138 0.373
0.373 0.373 0.138
0.500 0.109 0.891
0.500 0.891 0.109
0.627 0.627 0.862
0.627 0.862 0.627
0.862 0.627 0.627
0.891 0.109 0.500
0.891 0.500 0.109
0.278 0.706 0.706
0.294 0.294 0.722
0.294 0.722 0.294
0.706 0.278 0.706
0.706 0.706 0.278
0.722 0.294 0.294
```

Results
- ΔE_f (eV per atom) = 0.04
- ΔE to the lowest computed polymorph (meV/atom) = 80

Material: KHgPbAu2
Method: DFT, PBE-GGA
State: optimized geometry

Structure (POSCAR):
```
KHgPbAu2
1.0
-2.112 2.462 6.656
2.112 -2.462 6.656
2.112 2.462 -6.656
K Hg Pb Au
1 1 1 2
direct
0.000 0.000 0.000
0.619 0.619 0.000
0.263 0.763 0.500
0.410 0.410 0.000
0.781 0.281 0.500
```

Results
- ΔE_f (eV per atom) = -0.17
- ΔE to the lowest computed polymorph (meV/atom) = 0

Material: KMg3Hg3
Method: DFT, PBE-GGA
State: optimized geometry

Structure (POSCAR):
```
KMg3Hg3
1.0
7.823 0.000 0.000
0.000 7.823 0.000
0.000 0.000 7.823
K Mg Hg
2 6 6
direct
0.000 0.000 0.000
0.500 0.500 0.500
0.000 0.250 0.500
0.000 0.750 0.500
0.250 0.500 0.000
0.500 0.000 0.250
0.500 0.000 0.750
0.750 0.500 0.000
0.000 0.500 0.250
0.000 0.500 0.750
0.250 0.000 0.500
0.500 0.250 0.000
0.500 0.750 0.000
0.750 0.000 0.500
```

Results
- ΔE_f (eV per atom) = 0.00

Material: Li3Ge2Au7
Method: DFT, PBE-GGA
State: optimized geometry

Structure (POSCAR):
```
Li3Ge2Au7
1.0
4.260 0.000 0.000
0.000 3.669 0.000
-1.632 0.000 14.611
Li Ge Au
3 2 7
direct
0.000 0.000 0.000
0.291 0.500 0.599
0.709 0.500 0.401
0.105 0.000 0.271
0.895 0.000 0.729
0.049 0.500 0.136
0.233 0.000 0.439
0.437 0.000 0.832
0.500 0.500 0.000
0.563 0.000 0.168
0.767 0.000 0.561
0.951 0.500 0.864
```

Results
- ΔE_f (eV per atom) = -0.22

Material: NdDyEr4S8
Method: DFT, PBE-GGA
State: optimized geometry

Structure (POSCAR):
```
NdDyEr4S8
1.0
4.019 2.320 6.582
-4.019 2.320 6.582
0.000 -4.641 6.582
Nd Dy Er S
1 1 4 8
direct
0.000 0.000 0.000
0.625 0.625 0.625
0.128 0.625 0.625
0.251 0.251 0.251
0.625 0.128 0.625
0.625 0.625 0.128
0.381 0.381 0.855
0.381 0.855 0.381
0.383 0.383 0.383
0.410 0.865 0.865
0.855 0.381 0.381
0.863 0.863 0.863
0.865 0.410 0.865
0.865 0.865 0.410
```

Results
- E_form (uncorrected) (eV/f.u.) = -26.9

Material: K2Cu2Cl5
Method: DFT, PBE-GGA
State: optimized geometry

Structure (POSCAR):
```
K2Cu2Cl5
1.0
-10.486 3.343 3.334
10.486 -3.343 3.334
10.486 3.343 -3.334
K Cu Cl
4 4 10
direct
0.006 0.112 0.118
0.006 0.388 0.394
0.994 0.612 0.606
0.994 0.888 0.882
0.383 0.710 0.173
0.503 0.003 0.500
0.503 0.503 0.000
0.537 0.210 0.827
0.003 0.254 0.752
0.003 0.751 0.249
0.006 0.358 0.149
0.209 0.858 0.851
0.498 0.164 0.630
0.498 0.369 0.835
0.502 0.251 0.248
0.502 0.754 0.751
0.534 0.664 0.165
0.534 0.869 0.370
```

Results
- E_form (uncorrected) (eV/f.u.) = -10.4
- ΔE to the lowest computed polymorph (meV/atom) = 0

Material: Ac3As2Rh9Pb
Method: DFT, PBE-GGA
State: optimized geometry

Structure (POSCAR):
```
Ac3As2Rh9Pb
1.0
6.333 0.000 0.000
-3.166 5.484 0.000
0.000 0.000 9.677
Ac As Rh Pb
3 2 9 1
direct
0.000 0.000 0.000
0.333 0.667 0.709
0.667 0.333 0.291
0.333 0.667 0.162
0.667 0.333 0.838
0.000 0.500 0.000
0.145 0.290 0.271
0.145 0.855 0.271
0.290 0.145 0.729
0.500 0.000 0.000
0.500 0.500 0.000
0.710 0.855 0.271
0.855 0.145 0.729
0.855 0.710 0.729
0.000 0.000 0.500
```

Results
- ΔE_f (eV per atom) = -0.43

Material: Li3Ac3Sn8
Method: DFT, PBE-GGA
State: optimized geometry

Structure (POSCAR):
```
Li3Ac3Sn8
1.0
-2.265 5.634 7.759
2.265 -5.634 7.759
2.265 5.634 -7.759
Li Ac Sn
3 3 8
direct
0.000 0.000 0.000
0.221 0.500 0.721
0.779 0.500 0.279
0.201 0.701 0.500
0.500 0.000 0.500
0.799 0.299 0.500
0.091 0.892 0.199
0.208 0.345 0.862
0.307 0.108 0.199
0.483 0.345 0.138
0.517 0.655 0.862
0.693 0.892 0.801
0.792 0.655 0.138
0.909 0.108 0.801
```

Results
- ΔE_f (eV per atom) = -0.45

Material: K2TbZn3F12
Method: DFT, PBE-GGA
State: optimized geometry

Structure (POSCAR):
```
K2TbZn3F12
1.0
3.742 2.160 6.167
-3.742 2.160 6.167
0.000 -4.321 6.167
K Tb Zn F
2 1 3 12
direct
0.133 0.133 0.133
0.867 0.867 0.867
0.500 0.500 0.500
0.000 0.500 0.500
0.500 0.000 0.500
0.500 0.500 0.000
0.140 0.598 0.598
0.199 0.199 0.585
0.199 0.585 0.199
0.402 0.402 0.860
0.402 0.860 0.402
0.415 0.801 0.801
0.585 0.199 0.199
0.598 0.140 0.598
0.598 0.598 0.140
0.801 0.415 0.801
0.801 0.801 0.415
0.860 0.402 0.402
```

Results
- E_form (uncorrected) (eV/f.u.) = -48.6

Material: Tm2Ga4Ni3Au
Method: DFT, PBE-GGA
State: optimized geometry

Structure (POSCAR):
```
Tm2Ga4Ni3Au
1.0
4.003 0.000 0.000
0.000 4.003 0.000
0.000 0.000 10.554
Tm Ga Ni Au
2 4 3 1
direct
0.000 0.500 0.232
0.500 0.000 0.768
0.000 0.000 0.000
0.000 0.500 0.648
0.500 0.000 0.352
0.500 0.500 0.000
0.000 0.500 0.868
0.500 0.000 0.132
0.500 0.500 0.500
0.000 0.000 0.500
```

Results
- ΔE_f (eV per atom) = -0.56

Material: KPmCuO2
Method: DFT, PBE-GGA
State: optimized geometry

Structure (POSCAR):
```
KPmCuO2
1.0
5.967 0.000 0.000
0.000 5.297 0.000
-0.001 0.000 6.976
K Pm Cu O
2 2 2 4
direct
0.000 0.001 0.250
0.000 0.999 0.750
0.500 0.500 0.250
0.500 0.500 0.750
0.500 0.000 0.000
0.500 0.000 0.500
0.322 0.292 0.500
0.322 0.708 0.000
0.678 0.292 0.000
0.678 0.708 0.500
```

Results
- E_form (uncorrected) (eV/f.u.) = -8.0

Material: MgMo4Rh5
Method: DFT, PBE-GGA
State: optimized geometry

Structure (POSCAR):
```
MgMo4Rh5
1.0
2.792 0.000 0.000
0.000 2.792 0.000
0.000 0.000 19.148
Mg Mo Rh
1 4 5
direct
0.000 0.000 0.000
0.000 0.000 0.195
0.000 0.000 0.399
0.000 0.000 0.601
0.000 0.000 0.805
0.500 0.500 0.100
0.500 0.500 0.298
0.500 0.500 0.500
0.500 0.500 0.702
0.500 0.500 0.900
```

Results
- ΔE_f (eV per atom) = -0.23

Material: LaSbW2
Method: DFT, PBE-GGA
State: optimized geometry

Structure (POSCAR):
```
LaSbW2
1.0
3.655 0.000 0.000
0.000 3.655 0.000
0.000 0.000 6.712
La Sb W
1 1 2
direct
0.000 0.000 0.000
0.000 0.000 0.500
0.500 0.500 0.313
0.500 0.500 0.687
```

Results
- E_form (uncorrected) (eV/f.u.) = 2.6

Material: TmTh2SnN5
Method: DFT, PBE-GGA
State: optimized geometry

Structure (POSCAR):
```
TmTh2SnN5
1.0
1.766 -7.130 0.000
1.766 7.130 0.000
0.000 0.000 11.198
Tm Th Sn N
2 4 2 10
direct
0.226 0.774 0.500
0.774 0.226 0.000
0.129 0.871 0.218
0.134 0.866 0.762
0.866 0.134 0.262
0.871 0.129 0.718
0.493 0.507 0.988
0.507 0.493 0.488
0.065 0.935 0.556
0.287 0.713 0.857
0.288 0.712 0.156
0.374 0.626 0.569
0.488 0.512 0.302
0.512 0.488 0.802
0.626 0.374 0.069
0.712 0.288 0.656
0.713 0.287 0.357
0.935 0.065 0.056
```

Results
- E_form (uncorrected) (eV/f.u.) = -10.1

Material: Cd4Ag3F12
Method: DFT, PBE-GGA
State: optimized geometry

Structure (POSCAR):
```
Cd4Ag3F12
1.0
-4.291 4.291 4.291
4.291 -4.291 4.291
4.291 4.291 -4.291
Cd Ag F
4 3 12
direct
0.000 0.000 0.500
0.000 0.500 0.000
0.500 0.000 0.000
0.500 0.500 0.500
0.000 0.500 0.500
0.500 0.000 0.500
0.500 0.500 0.000
0.122 0.808 0.314
0.192 0.314 0.506
0.192 0.686 0.878
0.314 0.122 0.808
0.314 0.506 0.192
0.494 0.808 0.686
0.506 0.192 0.314
0.686 0.494 0.808
0.686 0.878 0.192
0.808 0.314 0.122
0.808 0.686 0.494
0.878 0.192 0.686
```

Results
- E_form (uncorrected) (eV/f.u.) = -33.4

Material: ZrMo2Pt
Method: DFT, PBE-GGA
State: optimized geometry

Structure (POSCAR):
```
ZrMo2Pt
1.0
2.771 0.000 0.000
0.000 4.832 0.000
-0.732 0.000 5.118
Zr Mo Pt
1 2 1
direct
0.000 0.000 0.000
0.274 0.500 0.760
0.726 0.500 0.240
0.500 0.000 0.500
```

Results
- ΔE_f (eV per atom) = -0.09
- ΔE to the lowest computed polymorph (meV/atom) = 179